First-principles (GGA-PBE) data for a relaxed structure of LiUCd2O6, as listed in Alexandria via LeMat-Bulk.

The raw formation energy comes out at -1.86 eV per atom. The density of states at the Fermi level is 10.39 states/eV/cell. The value obtained for the density is 6.90 g/cm³. The calculation puts the total magnetic moment at 0.01 μB per formula unit.

Cell: 5.947 5.947 5.947 Å, 56.37 56.37 56.37°
Positions (direct):
1 Li 0.000 0.000 0.000
2 U 0.486 0.486 0.486
3 Cd 0.272 0.272 0.272
4 Cd 0.780 0.780 0.780
5 O 0.126 0.705 0.367
6 O 0.229 0.606 0.846
7 O 0.367 0.126 0.705
8 O 0.606 0.846 0.229
9 O 0.705 0.367 0.126
10 O 0.846 0.229 0.606

***

First-principles (GGA-PBE) data for a relaxed structure of BeNb2RuAu, as listed in Alexandria via LeMat-Bulk.

For the formation energy, the calculation gives 0.747 eV/atom. The density of states at the Fermi level is 5.49 states/eV/cell. The value obtained for the density is 8.54 g/cm³. The calculation puts the total magnetic moment at 0.00 μB per formula unit.

Cell: 4.810 4.810 4.142 Å, 90.00 90.00 90.00°
Positions (direct):
1 Be 0.000 0.000 0.000
2 Nb 0.000 0.500 0.500
3 Nb 0.500 0.000 0.500
4 Ru 0.000 0.000 0.500
5 Au 0.500 0.500 0.000

***

First-principles (GGA-PBE) data for a relaxed structure of Mn2CdH2, as listed in Alexandria via LeMat-Bulk.

The density of states at the Fermi level is 3.69 states/eV/cell. The value obtained for the density is 7.07 g/cm³. The calculation puts the total magnetic moment at 6.30 μB per formula unit. The value obtained for the energy above the most stable polymorph in this dataset is 0.000 eV/atom.

Cell: 5.373 5.373 5.373 Å, 144.25 144.25 51.45°
Positions (direct):
1 Mn 0.171 0.171 0.000
2 Mn 0.829 0.829 0.000
3 Cd 0.500 0.500 0.000
4 H 0.250 0.750 0.500
5 H 0.750 0.250 0.500

***

First-principles (GGA-PBE) data for a relaxed structure of La2PmAl2, as listed in Alexandria via LeMat-Bulk.

For the formation energy, the calculation gives -0.186 eV/atom. The density of states at the Fermi level is 6.05 states/eV/cell. The value obtained for the density is 5.33 g/cm³. The calculation puts the total magnetic moment at 0.00 μB per formula unit. The value obtained for the energy above the most stable polymorph in this dataset is 0.116 eV/atom.

Cell: 6.504 6.504 6.327 Å, 99.63 99.63 34.30°
Positions (direct):
1 La 0.130 0.130 0.073
2 La 0.870 0.870 0.927
3 Pm 0.500 0.500 0.500
4 Al 0.208 0.208 0.607
5 Al 0.792 0.792 0.393

***

First-principles (GGA-PBE) data for a relaxed structure of Be2SiNi, as listed in Alexandria via LeMat-Bulk.

The raw formation energy comes out at -0.11 eV per atom. The density of states at the Fermi level is 0.46 states/eV/cell. The value obtained for the density is 4.48 g/cm³. The calculation puts the total magnetic moment at 0.00 μB per formula unit.

Cell: 3.801 3.801 3.801 Å, 60.00 60.00 60.00°
Positions (direct):
1 Be 0.000 0.000 0.000
2 Be 0.250 0.250 0.250
3 Si 0.750 0.750 0.750
4 Ni 0.500 0.500 0.500

***

First-principles (GGA-PBE) data for a relaxed structure of ZrTiSbI2, as listed in Alexandria via LeMat-Bulk.

The raw formation energy comes out at 0.43 eV per atom. The density of states at the Fermi level is 7.03 states/eV/cell. The value obtained for the density is 5.44 g/cm³. The calculation puts the total magnetic moment at 2.90 μB per formula unit. The value obtained for the energy above the most stable polymorph in this dataset is 0.000 eV/atom.

Cell: 5.331 5.331 5.524 Å, 90.00 90.00 90.00°
Positions (direct):
1 Zr 0.000 0.000 0.000
2 Ti 0.500 0.500 0.500
3 Sb 0.500 0.500 0.000
4 I 0.000 0.500 0.500
5 I 0.500 0.000 0.500

***

First-principles (GGA-PBE) data for a relaxed structure of ZrReH2, as listed in Alexandria via LeMat-Bulk.

The density of states at the Fermi level is 4.52 states/eV/cell. The value obtained for the density is 10.79 g/cm³. The calculation puts the total magnetic moment at 0.00 μB per formula unit. The value obtained for the energy above the most stable polymorph in this dataset is 0.000 eV/atom.

Cell: 5.683 5.683 5.683 Å, 136.44 136.44 63.31°
Positions (direct):
1 Zr 0.000 0.000 0.000
2 Zr 0.750 0.250 0.500
3 Re 0.250 0.750 0.500
4 Re 0.500 0.500 0.000
5 H 0.173 0.625 0.048
6 H 0.375 0.423 0.548
7 H 0.577 0.125 0.952
8 H 0.875 0.827 0.452

***

First-principles (GGA-PBE) data for a relaxed structure of SrCuP, as listed in Alexandria via LeMat-Bulk.

For the formation energy, the calculation gives -0.646 eV/atom. The density of states at the Fermi level is 1.27 states/eV/cell. The value obtained for the density is 4.73 g/cm³. The calculation puts the total magnetic moment at 0.00 μB per formula unit.

Cell: 4.095 4.361 7.158 Å, 90.00 90.00 90.00°
Positions (direct):
1 Sr 0.000 0.000 0.000
2 Sr 0.500 0.000 0.500
3 Cu 0.000 0.500 0.323
4 Cu 0.000 0.500 0.677
5 P 0.500 0.500 0.167
6 P 0.500 0.500 0.833